# YPuS2 (PBE, optimized geometry)
# - Volume: 257.6 Å³ per cell
# - Raw total energy: -9.17 eV per atom
# - Crystal system: trigonal
# - Theoretical density: 7.68 g cm⁻³
# - Total magnetization: 5.734 μB/f.u.
data_YPuS2
_cell_length_a 3.9178
_cell_length_b 3.9178
_cell_length_c 19.3805
_cell_angle_alpha 90.00
_cell_angle_beta 90.00
_cell_angle_gamma 120.00
_space_group_name_H-M_alt 'R -3 m'
_space_group_IT_number 166
_space_group_name_Hall '-R 3 2"'
loop_
_atom_site_label
_atom_site_fract_x
_atom_site_fract_y
_atom_site_fract_z
Y1 0.0000 0.0000 0.0000
Pu1 0.0000 0.0000 0.5000
S1 0.0000 0.0000 0.2509